# WIO2 | Alexandria | GGA+U | relaxed
data_WIO2
_cell_length_a 10.520
_cell_length_b 10.520
_cell_length_c 10.520
_cell_angle_alpha 17.84
_cell_angle_beta 17.84
_cell_angle_gamma 17.84
_symmetry_space_group_name_H-M 'P 1'
_symmetry_Int_Tables_number 1
_symmetry_space_group_name_Hall 'P 1'
loop_
_atom_site_label
_atom_site_fract_x
_atom_site_fract_y
_atom_site_fract_z
I1 0.000 0.000 0.000
O1 0.865 0.865 0.865
O2 0.135 0.135 0.135
W1 0.500 0.500 0.500
# Relative energy among the computed polymorphs (eV/atom): 0.000
# DFT total energy (eV/atom): -5.880
# Theoretical density (Mg/m³): 5.97
# Density of states at the Fermi level (states/eV per cell): 0.90
# SG: R-3m